1.
An optimized crystal structure of NaLiCu2, computed with PBE-GGA.

Unit cell a=4.526 b=4.526 c=4.526 alpha=60.00 beta=60.00 gamma=60.00
Element x y z (fractional)
Na1 0.000 0.000 0.000
Li1 0.500 0.500 0.500
Cu1 0.250 0.250 0.250
Cu2 0.750 0.750 0.750

Properties
* SG: No. 225
* total magnetization: 0.0 μB/f.u.
* distance to the lowest polymorph of the same formula: 0.00 eV/f.u.
* calculated formation energy: 1.1 eV per formula unit


2.
An optimized crystal structure of NaInPb2, computed with PBE-GGA.

Unit cell a=7.578 b=7.578 c=7.578 alpha=35.75 beta=35.75 gamma=35.75
Element x y z (fractional)
Na1 0.000 0.000 0.000
In1 0.170 0.170 0.170
Pb1 0.427 0.427 0.427
Pb2 0.576 0.576 0.576

Properties
* SG: No. 160
* total magnetization: 0.0 μB/f.u.
* calculated formation energy: 0.0 eV per formula unit


3.
An optimized crystal structure of DySc2PaP4, computed with PBE-GGA.

Unit cell a=6.659 b=3.890 c=6.732 alpha=90.00 beta=109.66 gamma=90.00
Element x y z (fractional)
Dy1 0.000 0.000 0.000
Sc1 0.500 0.000 0.500
Sc2 0.500 0.500 0.000
Pa1 0.000 0.500 0.500
P1 0.263 0.500 0.258
P2 0.264 0.000 0.753
P3 0.736 0.000 0.247
P4 0.737 0.500 0.742

Properties
* SG: No. 10
* total magnetization: 0.0 μB/f.u.
* calculated formation energy: -11.8 eV per formula unit


4.
An optimized crystal structure of LiDy3Sc3Se8, computed with PBE-GGA.

Unit cell a=7.912 b=7.912 c=7.912 alpha=59.79 beta=59.79 gamma=59.79
Element x y z (fractional)
Li1 0.000 0.000 0.000
Dy1 0.000 0.000 0.500
Dy2 0.000 0.500 0.000
Dy3 0.500 0.000 0.000
Sc1 0.000 0.500 0.500
Sc2 0.500 0.000 0.500
Sc3 0.500 0.500 0.000
Se1 0.249 0.249 0.741
Se2 0.249 0.741 0.249
Se3 0.255 0.255 0.255
Se4 0.259 0.751 0.751
Se5 0.741 0.249 0.249
Se6 0.745 0.745 0.745
Se7 0.751 0.259 0.751
Se8 0.751 0.751 0.259

Properties
* final energy: -5.879 eV/atom
* SG: No. 166
* total magnetization: 0.0 μB/f.u.